{"formula": "NbVZn2F", "functional": "GGA+U", "state": "relaxed", "n_ef_per_ev_fu": 5.3, "sg": "P4/mmm, No. 123", "total_energy_ry_per_atom": -0.2755, "lattice": [[5.087, 0.000, 0.000], [0.000, 4.027, 0.000], [0.000, 0.000, 5.087]], "species": ["Nb", "F", "Zn", "Zn", "V"], "fractional_positions": [[0.000, 0.000, 0.000], [0.000, 0.500, 0.000], [0.000, 0.000, 0.500], [0.500, 0.000, 0.000], [0.500, 0.500, 0.500]]}